Record 1
An optimized crystal structure of LaPb, computed with PBE.

The structure in POSCAR format:
```
LaPb
1.0
11.160 0.000 0.000
0.000 10.254 0.000
0.000 0.000 6.856
La Pb
12 12
direct
0.106 0.250 0.000
0.106 0.250 0.500
0.191 0.627 0.250
0.191 0.873 0.750
0.392 0.033 0.250
0.392 0.467 0.750
0.608 0.533 0.250
0.608 0.967 0.750
0.809 0.127 0.250
0.809 0.373 0.750
0.894 0.750 0.000
0.894 0.750 0.500
0.095 0.555 0.750
0.095 0.945 0.250
0.346 0.135 0.750
0.346 0.365 0.250
0.423 0.750 0.000
0.423 0.750 0.500
0.577 0.250 0.000
0.577 0.250 0.500
0.654 0.635 0.750
0.654 0.865 0.250
0.905 0.055 0.750
0.905 0.445 0.250
```

Results
The symmetry is Pbcm, No. 57.

***

Record 2
An optimized crystal structure of LaPb2, computed with PBE.

The structure in POSCAR format:
```
LaPb2
1.0
8.940 0.000 0.000
-4.470 7.743 0.000
0.000 0.000 4.639
La Pb
3 6
direct
0.000 0.000 0.000
0.333 0.667 0.500
0.667 0.333 0.500
0.000 0.512 0.000
0.000 0.747 0.500
0.253 0.253 0.500
0.488 0.488 0.000
0.512 0.000 0.000
0.747 0.000 0.500
```

Results
The symmetry is P-62m, No. 189.

***

One value per record, in order, for density of states at the Fermi level: 0.783; 0.905 states/eV per atom.
One value per record, in order, for calculated formation energy: -0.61; -0.24 eV/atom.